Entry 1:
The following is a DFT calculation (PBEsol) of a relaxed structure of TiVO4.

Results
energy relative to the elements, uncorrected: -2.680 eV per atom
spin magnetization: 0.9 μB/f.u.

Cell: 5.390 5.390 5.390 Å, 139.35 139.35 58.83°
Positions (direct):
Ti 0.000 0.000 0.000
V 0.750 0.250 0.500
O 0.214 0.214 0.000
O 0.545 0.045 0.500
O 0.786 0.786 0.000
O 0.955 0.455 0.500

Entry 2:
The following is a DFT calculation (PBEsol) of a relaxed structure of LiNiB2.

Results
E_form: 0.1336 eV per atom
spin magnetization: 0.0 μB/f.u.

Cell: 7.589 7.589 7.589 Å, 154.62 154.62 36.20°
Positions (direct):
Li 0.375 0.625 0.750
Li 0.625 0.375 0.250
Ni 0.125 0.875 0.250
Ni 0.875 0.125 0.750
B 0.000 0.000 0.000
B 0.000 0.000 0.500
B 0.000 0.500 0.000
B 0.500 0.000 0.500

Entry 3:
The following is a DFT calculation (PBEsol) of a relaxed structure of SrTlVO4.

Results
energy relative to the elements, uncorrected: -2.374 eV per atom
spin magnetization: 0.0 μB/f.u.

Cell: 5.830 7.517 9.936 Å, 90.00 90.00 90.00°
Positions (direct):
Sr 0.024 0.248 0.204
Sr 0.476 0.752 0.704
Sr 0.524 0.252 0.796
Sr 0.976 0.748 0.296
Tl 0.022 0.413 0.577
Tl 0.478 0.587 0.077
Tl 0.522 0.087 0.423
Tl 0.978 0.913 0.923
V 0.016 0.970 0.582
V 0.484 0.030 0.082
V 0.516 0.530 0.418
V 0.984 0.470 0.918
O 0.000 0.054 0.421
O 0.000 0.554 0.079
O 0.070 0.748 0.564
O 0.240 0.510 0.835
O 0.247 0.052 0.668
O 0.253 0.948 0.168
O 0.260 0.490 0.335
O 0.430 0.252 0.064
O 0.500 0.446 0.579
O 0.500 0.946 0.921
O 0.570 0.752 0.436
O 0.740 0.990 0.165
O 0.747 0.448 0.332
O 0.753 0.552 0.832
O 0.760 0.010 0.665
O 0.930 0.248 0.936

Entry 4:
The following is a DFT calculation (PBEsol) of a relaxed structure of MnHg2S3.

Results
energy relative to the elements, uncorrected: -0.221 eV per atom
spin magnetization: 5.0 μB/f.u.

Cell: 4.078 4.078 9.906 Å, 90.00 90.00 120.00°
Positions (direct):
Mn 0.000 0.000 0.000
Hg 0.333 0.667 0.667
Hg 0.667 0.333 0.318
S 0.000 0.000 0.763
S 0.333 0.667 0.413
S 0.667 0.333 0.062

Entry 5:
The following is a DFT calculation (PBEsol) of a relaxed structure of ScTl2Te.

Results
energy relative to the elements, uncorrected: -0.288 eV per atom
spin magnetization: 0.0 μB/f.u.

Cell: 3.849 4.723 5.696 Å, 90.00 90.00 90.00°
Positions (direct):
Sc 0.000 0.000 0.000
Tl 0.000 0.500 0.500
Tl 0.500 0.000 0.500
Te 0.500 0.500 0.000

Entry 6:
The following is a DFT calculation (PBEsol) of a relaxed structure of ZnRe2Hg.

Results
E_form: 0.6488 eV per atom
spin magnetization: 0.0 μB/f.u.

Cell: 4.444 4.444 4.444 Å, 60.00 60.00 60.00°
Positions (direct):
Zn 0.000 0.000 0.000
Re 0.250 0.250 0.250
Re 0.500 0.500 0.500
Hg 0.750 0.750 0.750

Entry 7:
The following is a DFT calculation (PBEsol) of a relaxed structure of LiTi2Ag.

Results
E_form: 0.4515 eV per atom
spin magnetization: 0.0 μB/f.u.

Cell: 5.719 5.719 5.719 Å, 100.53 100.53 129.38°
Positions (direct):
Li 0.000 0.000 0.000
Li 0.750 0.250 0.500
Ti 0.123 0.125 0.498
Ti 0.375 0.877 0.002
Ti 0.627 0.625 0.502
Ti 0.875 0.373 0.998
Ag 0.250 0.750 0.500
Ag 0.500 0.500 0.000

Entry 8:
The following is a DFT calculation (PBEsol) of a relaxed structure of K3CaPCO7.

Results
energy relative to the elements, uncorrected: -2.275 eV per atom
spin magnetization: 0.0 μB/f.u.

Cell: 5.659 7.187 9.762 Å, 90.00 90.83 90.00°
Positions (direct):
K 0.242 0.250 0.422
K 0.257 0.507 0.764
K 0.257 0.993 0.764
K 0.743 0.007 0.236
K 0.743 0.493 0.236
K 0.758 0.750 0.578
Ca 0.224 0.750 0.135
Ca 0.776 0.250 0.865
P 0.289 0.250 0.087
P 0.711 0.750 0.913
C 0.253 0.750 0.424
C 0.747 0.250 0.576
O 0.050 0.750 0.360
O 0.148 0.250 0.949
O 0.230 0.074 0.173
O 0.230 0.426 0.173
O 0.264 0.750 0.556
O 0.442 0.750 0.944
O 0.446 0.750 0.352
O 0.554 0.250 0.648
O 0.558 0.250 0.056
O 0.736 0.250 0.444
O 0.770 0.574 0.827
O 0.770 0.926 0.827
O 0.852 0.750 0.051
O 0.950 0.250 0.640

Entry 9:
The following is a DFT calculation (PBEsol) of a relaxed structure of Cu2TeSe.

Results
energy relative to the elements, uncorrected: -0.045 eV per atom
spin magnetization: 0.0 μB/f.u.

Cell: 4.379 4.210 4.210 Å, 73.89 90.00 90.00°
Positions (direct):
Cu 0.000 0.000 0.000
Cu 0.500 0.196 0.196
Te 0.000 0.394 0.394
Se 0.500 0.825 0.825

Entry 10:
The following is a DFT calculation (PBEsol) of a relaxed structure of HIrSe2.

Results
total energy: -0.34313 Ry per atom
spin magnetization: 0.0 μB/f.u.

Cell: 7.854 7.854 7.854 Å, 21.10 21.10 21.10°
Positions (direct):
H 0.000 0.000 0.000
Ir 0.500 0.500 0.500
Se 0.397 0.397 0.397
Se 0.603 0.603 0.603

Entry 11:
The following is a DFT calculation (PBEsol) of a relaxed structure of MgReAs.

Results
E_form: 0.1832 eV per atom
spin magnetization: 0.0 μB/f.u.

Cell: 4.168 4.168 3.368 Å, 90.00 90.00 120.00°
Positions (direct):
Mg 0.000 0.000 0.000
Re 0.667 0.333 0.500
As 0.333 0.667 0.500

Entry 12:
The following is a DFT calculation (PBEsol) of a relaxed structure of Mn2ZnSe.

Results
energy relative to the elements, uncorrected: 0.199 eV per atom
spin magnetization: 6.8 μB/f.u.

Cell: 4.999 4.999 4.999 Å, 137.18 137.18 62.16°
Positions (direct):
Mn 0.000 0.000 0.000
Mn 0.750 0.250 0.500
Zn 0.250 0.750 0.500
Se 0.500 0.500 0.000

Entry 13:
The following is a DFT calculation (PBEsol) of a relaxed structure of Sr2TaTeAs.

Results
energy relative to the elements, uncorrected: -0.179 eV per atom
spin magnetization: 1.9 μB/f.u.

Cell: 5.842 5.842 4.816 Å, 90.00 90.00 90.00°
Positions (direct):
Sr 0.000 0.500 0.000
Sr 0.500 0.000 0.000
Ta 0.000 0.000 0.500
Te 0.500 0.500 0.500
As 0.000 0.000 0.000

Entry 14:
The following is a DFT calculation (PBEsol) of a relaxed structure of AlSbSCl2.

Results
energy relative to the elements, uncorrected: -0.166 eV per atom
spin magnetization: 0.0 μB/f.u.

Cell: 5.227 5.227 5.143 Å, 90.00 90.00 90.00°
Positions (direct):
Al 0.000 0.000 0.000
Sb 0.500 0.500 0.500
S 0.500 0.500 0.000
Cl 0.000 0.500 0.500
Cl 0.500 0.000 0.500

Entry 15:
The following is a DFT calculation (PBEsol) of a relaxed structure of TaHg2Cl.

Results
energy relative to the elements, uncorrected: 0.268 eV per atom
spin magnetization: 0.0 μB/f.u.

Cell: 3.029 5.560 4.832 Å, 90.00 93.02 90.00°
Positions (direct):
Ta 0.000 0.000 0.000
Hg 0.278 0.500 0.244
Hg 0.722 0.500 0.756
Cl 0.000 0.000 0.500

Entry 16:
The following is a DFT calculation (PBEsol) of a relaxed structure of Hf2TcNi.

Results
E_form: -0.4816 eV per atom
spin magnetization: 0.0 μB/f.u.

Cell: 4.499 4.499 4.499 Å, 60.00 60.00 60.00°
Positions (direct):
Hf 0.250 0.250 0.250
Hf 0.750 0.750 0.750
Tc 0.000 0.000 0.000
Ni 0.500 0.500 0.500

Entry 17:
The following is a DFT calculation (PBEsol) of a relaxed structure of TePt2Rh.

Results
energy relative to the elements, uncorrected: 0.048 eV per atom
spin magnetization: 0.0 μB/f.u.

Cell: 4.626 4.626 4.637 Å, 105.17 105.17 44.00°
Positions (direct):
Te 0.000 0.000 0.000
Pt 0.504 0.504 0.520
Pt 0.754 0.754 0.286
Rh 0.256 0.256 0.784

Entry 18:
The following is a DFT calculation (PBEsol) of a relaxed structure of ZnPt2Rh.

Results
E_form: -0.2273 eV per atom
spin magnetization: 0.0 μB/f.u.

Cell: 4.667 4.667 4.667 Å, 131.00 131.00 71.81°
Positions (direct):
Zn 0.000 0.000 0.000
Pt 0.500 0.500 0.000
Pt 0.750 0.250 0.500
Rh 0.250 0.750 0.500

Entry 19:
The following is a DFT calculation (PBEsol) of a relaxed structure of ZrReIr.

Results
E_form: -0.1518 eV per atom
spin magnetization: 0.0 μB/f.u.

Cell: 4.493 4.493 2.827 Å, 90.00 90.00 120.00°
Positions (direct):
Zr 0.000 0.000 0.000
Re 0.333 0.667 0.500
Ir 0.667 0.333 0.500

Entry 20:
The following is a DFT calculation (PBEsol) of a relaxed structure of Nb2ZnTeSe.

Results
energy relative to the elements, uncorrected: 1.010 eV per atom
spin magnetization: 0.0 μB/f.u.

Cell: 4.751 4.751 5.372 Å, 90.00 90.00 90.00°
Positions (direct):
Nb 0.000 0.500 0.000
Nb 0.500 0.000 0.000
Zn 0.000 0.000 0.500
Te 0.500 0.500 0.500
Se 0.500 0.500 0.000

Entry 21:
The following is a DFT calculation (PBEsol) of a relaxed structure of BaPtPb2.

Results
E_form: -0.1740 eV per atom
spin magnetization: 0.0 μB/f.u.

Cell: 5.339 5.339 5.339 Å, 60.00 60.00 60.00°
Positions (direct):
Ba 0.000 0.000 0.000
Pt 0.750 0.750 0.750
Pb 0.250 0.250 0.250
Pb 0.500 0.500 0.500

Entry 22:
The following is a DFT calculation (PBEsol) of a relaxed structure of Tb3Al2Ni6.

Results
E_form: -0.5578 eV per atom
spin magnetization: 0.0 μB/f.u.

Cell: 7.619 7.619 7.619 Å, 109.47 109.47 109.47°
Positions (direct):
Tb 0.000 0.291 0.291
Tb 0.000 0.709 0.709
Tb 0.291 0.000 0.291
Tb 0.291 0.291 0.000
Tb 0.709 0.000 0.709
Tb 0.709 0.709 0.000
Al 0.000 0.000 0.500
Al 0.000 0.500 0.000
Al 0.500 0.000 0.000
Al 0.500 0.500 0.500
Ni 0.000 0.336 0.664
Ni 0.000 0.664 0.336
Ni 0.327 0.664 0.664
Ni 0.336 0.000 0.664
Ni 0.336 0.336 0.673
Ni 0.336 0.664 0.000
Ni 0.336 0.673 0.336
Ni 0.664 0.000 0.336
Ni 0.664 0.327 0.664
Ni 0.664 0.336 0.000
Ni 0.664 0.664 0.327
Ni 0.673 0.336 0.336

Entry 23:
The following is a DFT calculation (PBEsol) of a relaxed structure of TcPRh2.

Results
E_form: -0.0528 eV per atom
spin magnetization: 0.0 μB/f.u.

Cell: 2.844 4.296 4.320 Å, 90.00 90.00 90.00°
Positions (direct):
Tc 0.000 0.000 0.000
P 0.500 0.500 0.000
Rh 0.000 0.500 0.500
Rh 0.500 0.000 0.500

Entry 24:
The following is a DFT calculation (PBEsol) of a relaxed structure of RbScAsSe2.

Results
energy relative to the elements, uncorrected: -0.722 eV per atom
spin magnetization: 0.0 μB/f.u.

Cell: 5.206 5.206 5.134 Å, 90.00 90.00 90.00°
Positions (direct):
Rb 0.000 0.000 0.000
Sc 0.500 0.500 0.500
As 0.500 0.500 0.000
Se 0.000 0.500 0.500
Se 0.500 0.000 0.500

Entry 25:
The following is a DFT calculation (PBEsol) of a relaxed structure of YAgMo.

Results
E_form: 1.3222 eV per atom
spin magnetization: 2.9 μB/f.u.

Cell: 4.646 4.646 4.646 Å, 60.00 60.00 60.00°
Positions (direct):
Y 0.000 0.000 0.000
Ag 0.750 0.750 0.750
Mo 0.250 0.250 0.250

Entry 26:
The following is a DFT calculation (PBEsol) of a relaxed structure of LiMnAu.

Results
E_form: 0.0243 eV per atom
spin magnetization: 3.9 μB/f.u.

Cell: 4.309 4.309 2.709 Å, 90.00 90.00 120.00°
Positions (direct):
Li 0.000 0.000 0.000
Mn 0.667 0.333 0.282
Au 0.333 0.667 0.702